The following is a DFT calculation (PBE) of an optimized crystal structure of ZrFeTeI2. Values from VASP.

Results
offset from the most stable computed form = 22.2 kJ per mole of atoms
space-group type = P4/mmm
M_tot = 0.01 μB/cell
crystal system = tetragonal

The structure in Quantum ESPRESSO input format:
```
&SYSTEM
  ibrav = 0, nat = 5, ntyp = 4
/
ATOMIC_SPECIES
I 126.90 I.upf
Te 127.60 Te.upf
Fe 55.84 Fe.upf
Zr 91.22 Zr.upf
ATOMIC_POSITIONS angstrom
I 0.0000 2.5202 0.0000
I 2.5202 0.0000 0.0000
Te 0.0000 0.0000 2.5693
Fe 0.0000 0.0000 0.0000
Zr 2.5202 2.5202 2.5693
CELL_PARAMETERS angstrom
5.0404 0.0000 0.0000
0.0000 5.0404 0.0000
0.0000 0.0000 5.1386
```

The following is a DFT calculation (PBE) of an optimized crystal structure of ZrFeTeI2. Values from VASP.

Results
offset from the most stable computed form = 0.0 kJ per mole of atoms
space-group type = P4/mmm
M_tot = 4.55 μB/cell
crystal system = tetragonal

The structure in Quantum ESPRESSO input format:
```
&SYSTEM
  ibrav = 0, nat = 5, ntyp = 4
/
ATOMIC_SPECIES
I 126.90 I.upf
Te 127.60 Te.upf
Fe 55.84 Fe.upf
Zr 91.22 Zr.upf
ATOMIC_POSITIONS angstrom
I 0.0000 2.8960 0.0000
I 2.8960 0.0000 0.0000
Te 0.0000 0.0000 2.8032
Fe 2.8960 2.8960 2.8032
Zr 0.0000 0.0000 0.0000
CELL_PARAMETERS angstrom
5.7920 0.0000 0.0000
0.0000 5.7920 0.0000
0.0000 0.0000 5.6064
```

The following is a DFT calculation (PBE) of an optimized crystal structure of ZrFeTe2I. Values from VASP.

Results
offset from the most stable computed form = 8.4 kJ per mole of atoms
space-group type = P4/mmm
M_tot = 0.97 μB/cell
crystal system = tetragonal

The structure in Quantum ESPRESSO input format:
```
&SYSTEM
  ibrav = 0, nat = 5, ntyp = 4
/
ATOMIC_SPECIES
I 126.90 I.upf
Te 127.60 Te.upf
Fe 55.84 Fe.upf
Zr 91.22 Zr.upf
ATOMIC_POSITIONS angstrom
I 1.3543 -0.6037 2.0520
Te -0.2717 -2.4403 -0.5386
Te -2.1064 -0.0679 1.3702
Fe 0.0000 0.0000 0.0000
Zr -1.0239 -3.1119 2.8836
CELL_PARAMETERS angstrom
-4.2129 -0.1358 2.7404
-0.5435 -4.8806 -1.0773
2.7085 -1.2075 4.1040
```

| no. | ΔE_f (raw) (meV/atom) |
| --- | --- |
| 1 | 583 |
| 2 | 353 |
| 3 | 485 |